! Li2Ni3TeO8, optimized geometry, DFT PBE+U; values from VASP
! **Energy above the most stable polymorph in this dataset**: 0.017 eV/f.u.
! **Total moment**: 4.0 μB/f.u.
&SYSTEM
  ibrav = 0, nat = 14, ntyp = 4
/
ATOMIC_SPECIES
Li 6.94 Li.upf
Ni 58.69 Ni.upf
Te 127.60 Te.upf
O 16.00 O.upf
CELL_PARAMETERS angstrom
2.9548 1.7059 4.9552
-2.9548 1.7059 4.9552
0.0000 -3.4119 4.9552
ATOMIC_POSITIONS angstrom
Li 0.0000 0.0000 1.9971
Li 0.0000 0.0000 12.8686
Ni -1.4774 -0.8530 4.9552
Ni -1.4774 0.8530 9.9105
Ni 0.0000 1.7059 4.9552
Te 0.0000 0.0000 7.4329
O 0.0000 -1.5548 6.2359
O -1.3465 0.7774 6.2359
O 0.0000 0.0000 4.0226
O -1.3465 -0.7774 8.6298
O 1.3465 0.7774 6.2359
O 0.0000 0.0000 10.8431
O 1.3465 -0.7774 8.6298
O 0.0000 1.5548 8.6298